No. 1
First-principles (GGA-PBEsol) data for a geometry-optimized YRhOF2 structure, as listed in the Alexandria database.

```
data_YRhOF2
_chemical_formula_sum 'Y1 Rh1 O1 F2'
_symmetry_space_group_name_H-M 'P 4/m m m'
_symmetry_Int_Tables_number 123
_symmetry_space_group_name_Hall '-P 4 2'
_cell_length_a 4.1289
_cell_length_b 4.1289
_cell_length_c 3.9996
_cell_angle_alpha 90.00
_cell_angle_beta 90.00
_cell_angle_gamma 90.00
loop_
_atom_site_label
_atom_site_type_symbol
_atom_site_fract_x
_atom_site_fract_y
_atom_site_fract_z
Y1 Y 0.0000 0.0000 0.0000
Rh1 Rh 0.5000 0.5000 0.5000
O1 O 0.5000 0.5000 0.0000
F1 F 0.0000 0.5000 0.5000
```

As for the calculated density: 6.0 g/cm³. The volume is 68 Å³/cell. The value obtained for the density of states at the Fermi level is 2.1 states/eV/cell. The energy is -6.24 eV/atom. The total moment comes out at 0.00 μB/f.u. As for the crystal system: tetragonal. For the raw formation energy, the calculation gives -1422 meV/atom.

---

No. 2
First-principles (GGA-PBEsol) data for a geometry-optimized Mg2Sc structure, as listed in the Alexandria database.

```
data_Mg2Sc
_chemical_formula_sum 'Mg8 Sc4'
_symmetry_space_group_name_H-M 'P n m a'
_symmetry_Int_Tables_number 62
_cell_length_a 6.1852
_cell_length_b 4.7455
_cell_length_c 9.1881
_cell_angle_alpha 90.00
_cell_angle_beta 90.00
_cell_angle_gamma 90.00
loop_
_symmetry_equiv_pos_as_xyz
'x,y,z'
'-x,-y,-z'
'-x+1/2,-y,z+1/2'
'x+1/2,y,-z+1/2'
'x+1/2,-y+1/2,-z+1/2'
'-x+1/2,y+1/2,z+1/2'
'-x,y+1/2,-z'
'x,-y+1/2,z'
loop_
_atom_site_label
_atom_site_type_symbol
_atom_site_fract_x
_atom_site_fract_y
_atom_site_fract_z
Mg1 Mg 0.0788 0.2500 0.2415
Mg2 Mg 0.1531 0.2500 0.9120
Sc1 Sc 0.1485 0.2500 0.5786
```

As for the calculated density: 2.3 g/cm³. The volume is 270 Å³/cell. The value obtained for the density of states at the Fermi level is 9.8 states/eV/cell. The energy is -3.37 eV/atom. The total moment comes out at 0.00 μB/f.u. As for the crystal system: orthorhombic. Its formation energy is -0.020 eV per atom.

---

No. 3
First-principles (GGA-PBEsol) data for a geometry-optimized CaAlRh structure, as listed in the Alexandria database.

```
data_CaAlRh
_chemical_formula_sum 'Ca1 Al1 Rh1'
_symmetry_space_group_name_H-M 'P -6 m 2'
_symmetry_Int_Tables_number 187
_symmetry_space_group_name_Hall 'P -6 2'
_cell_length_a 4.1867
_cell_length_b 4.1867
_cell_length_c 4.1074
_cell_angle_alpha 90.00
_cell_angle_beta 90.00
_cell_angle_gamma 120.00
loop_
_atom_site_label
_atom_site_type_symbol
_atom_site_fract_x
_atom_site_fract_y
_atom_site_fract_z
Ca1 Ca 0.0000 0.0000 0.0000
Al1 Al 0.6667 0.3333 0.5000
Rh1 Rh 0.3333 0.6667 0.5000
```

As for the calculated density: 4.5 g/cm³. The volume is 62 Å³/cell. The value obtained for the density of states at the Fermi level is 1.4 states/eV/cell. The energy is -5.26 eV/atom. The total moment comes out at 0.00 μB/f.u. As for the crystal system: hexagonal. Its formation energy is -0.474 eV per atom.

---

No. 4
First-principles (GGA-PBEsol) data for a geometry-optimized Te2PdPb2Cl2O6 structure, as listed in the Alexandria database.

```
data_Te2PdPb2Cl2O6
_chemical_formula_sum 'Te4 Pd2 Pb4 Cl4 O12'
_symmetry_space_group_name_H-M 'P 1 21/c 1'
_symmetry_Int_Tables_number 14
_cell_length_a 7.8735
_cell_length_b 5.5076
_cell_length_c 12.9496
_cell_angle_alpha 90.00
_cell_angle_beta 122.78
_cell_angle_gamma 90.00
loop_
_symmetry_equiv_pos_as_xyz
'x,y,z'
'-x,-y,-z'
'-x,y+1/2,-z+1/2'
'x,-y+1/2,z+1/2'
loop_
_atom_site_label
_atom_site_type_symbol
_atom_site_fract_x
_atom_site_fract_y
_atom_site_fract_z
Te1 Te 0.2205 0.0034 0.4931
Pd1 Pd 0.5000 0.0000 0.0000
Pb1 Pb 0.1561 0.0363 0.1984
Cl1 Cl 0.4604 0.5998 0.3176
O1 O 0.0305 0.2383 0.4785
O2 O 0.0649 0.6440 0.8358
O3 O 0.3300 0.2072 0.4201
```

As for the calculated density: 6.6 g/cm³. The volume is 472 Å³/cell. The energy is -5.36 eV/atom. The total moment comes out at 0.00 μB/f.u. As for the crystal system: monoclinic. For the raw formation energy, the calculation gives -1016 meV/atom.

---

No. 5
First-principles (GGA-PBEsol) data for a geometry-optimized AlZnCu2 structure, as listed in the Alexandria database.

```
data_AlZnCu2
_chemical_formula_sum 'Al1 Zn1 Cu2'
_symmetry_space_group_name_H-M 'P m m m'
_symmetry_Int_Tables_number 47
_cell_length_a 2.9003
_cell_length_b 3.1657
_cell_length_c 5.4647
_cell_angle_alpha 90.00
_cell_angle_beta 90.00
_cell_angle_gamma 90.00
loop_
_symmetry_equiv_pos_as_xyz
'x,y,z'
'-x,-y,-z'
'-x,-y,z'
'x,y,-z'
'x,-y,-z'
'-x,y,z'
'-x,y,-z'
'x,-y,z'
loop_
_atom_site_label
_atom_site_type_symbol
_atom_site_fract_x
_atom_site_fract_y
_atom_site_fract_z
Al1 Al 0.0000 0.0000 0.0000
Zn1 Zn 0.0000 0.0000 0.5000
Cu1 Cu 0.5000 0.5000 0.2489
```

As for the calculated density: 7.3 g/cm³. The volume is 50 Å³/cell. The value obtained for the density of states at the Fermi level is 0.8 states/eV/cell. The energy is -3.75 eV/atom. The total moment comes out at 0.00 μB/f.u. As for the crystal system: orthorhombic. Its formation energy is -0.162 eV per atom.

---

No. 6
First-principles (GGA-PBEsol) data for a geometry-optimized FeTc structure, as listed in the Alexandria database.

```
data_FeTc
_chemical_formula_sum 'Fe4 Tc4'
_symmetry_space_group_name_H-M 'I m m a'
_symmetry_Int_Tables_number 74
_symmetry_space_group_name_Hall '-I 2b 2'
_cell_length_a 2.9604
_cell_length_b 4.1203
_cell_length_c 8.2171
_cell_angle_alpha 90.00
_cell_angle_beta 90.00
_cell_angle_gamma 90.00
loop_
_atom_site_label
_atom_site_type_symbol
_atom_site_fract_x
_atom_site_fract_y
_atom_site_fract_z
Fe1 Fe 0.0000 0.2500 0.1339
Tc1 Tc 0.0000 0.2500 0.6193
```

As for the calculated density: 10.2 g/cm³. The volume is 100 Å³/cell. The value obtained for the density of states at the Fermi level is 7.4 states/eV/cell. The energy is -10.00 eV/atom. The total moment comes out at 2.52 μB/f.u. As for the crystal system: orthorhombic. Its formation energy is 0.112 eV per atom.

---

No. 7
First-principles (GGA-PBEsol) data for a geometry-optimized KSnBr3 structure, as listed in the Alexandria database.

```
data_KSnBr3
_chemical_formula_sum 'K4 Sn4 Br12'
_symmetry_space_group_name_H-M 'P n m a'
_symmetry_Int_Tables_number 62
_cell_length_a 8.7189
_cell_length_b 4.4082
_cell_length_c 16.3723
_cell_angle_alpha 90.00
_cell_angle_beta 90.00
_cell_angle_gamma 90.00
loop_
_symmetry_equiv_pos_as_xyz
'x,y,z'
'-x,-y,-z'
'-x+1/2,-y,z+1/2'
'x+1/2,y,-z+1/2'
'x+1/2,-y+1/2,-z+1/2'
'-x+1/2,y+1/2,z+1/2'
'-x,y+1/2,-z'
'x,-y+1/2,z'
loop_
_atom_site_label
_atom_site_type_symbol
_atom_site_fract_x
_atom_site_fract_y
_atom_site_fract_z
K1 K 0.0805 0.2500 0.1592
Sn1 Sn 0.1225 0.7500 0.4359
Br1 Br 0.0408 0.7500 0.6464
Br2 Br 0.1817 0.7500 0.0034
Br3 Br 0.1988 0.2500 0.8028
```

As for the calculated density: 4.2 g/cm³. The volume is 629 Å³/cell. The value obtained for the density of states at the Fermi level is 0.0 states/eV/cell. The energy is -3.35 eV/atom. The total moment comes out at 0.00 μB/f.u. As for the crystal system: orthorhombic. For the raw formation energy, the calculation gives -1146 meV/atom.

---

No. 8
First-principles (GGA-PBEsol) data for a geometry-optimized InAs2SeBr structure, as listed in the Alexandria database.

```
data_InAs2SeBr
_chemical_formula_sum 'In1 As2 Se1 Br1'
_symmetry_space_group_name_H-M 'P 4/m m m'
_symmetry_Int_Tables_number 123
_symmetry_space_group_name_Hall '-P 4 2'
_cell_length_a 5.0165
_cell_length_b 5.0165
_cell_length_c 5.3598
_cell_angle_alpha 90.00
_cell_angle_beta 90.00
_cell_angle_gamma 90.00
loop_
_atom_site_label
_atom_site_type_symbol
_atom_site_fract_x
_atom_site_fract_y
_atom_site_fract_z
In1 In 0.0000 0.0000 0.0000
As1 As 0.0000 0.5000 0.5000
Se1 Se 0.5000 0.5000 0.5000
Br1 Br 0.5000 0.5000 0.0000
```

As for the calculated density: 5.2 g/cm³. The volume is 135 Å³/cell. The value obtained for the density of states at the Fermi level is 4.9 states/eV/cell. The energy is -3.29 eV/atom. The total moment comes out at 0.00 μB/f.u. As for the crystal system: tetragonal. For the raw formation energy, the calculation gives 490 meV/atom.